1.
Below is a geometry-optimized NaNdS2 structure, with properties calculated at the GGA-PBE level.

```
data_NaNdS2
_chemical_formula_sum 'Na3 Nd3 S6'
_cell_length_a 4.0954
_cell_length_b 4.0954
_cell_length_c 21.0627
_cell_angle_alpha 90.00
_cell_angle_beta 90.00
_cell_angle_gamma 120.00
_symmetry_space_group_name_H-M 'R 3 m'
_symmetry_Int_Tables_number 160
_symmetry_space_group_name_Hall 'R 3 -2"'
loop_
_atom_site_label
_atom_site_fract_x
_atom_site_fract_y
_atom_site_fract_z
_atom_site_occupancy
Na1 0.0000 0.0000 0.0000 1
Nd1 0.0000 0.0000 0.1725 1
S1 0.0000 0.0000 0.5817 1
S2 0.0000 0.0000 0.7639 1
```

---

2.
Below is a geometry-optimized Na3Nd3SbS8 structure, with properties calculated at the GGA-PBE level.

```
data_Na3Nd3SbS8
_chemical_formula_sum 'Na9 Nd9 Sb3 S24'
_cell_length_a 8.1698
_cell_length_b 8.1698
_cell_length_c 20.1990
_cell_angle_alpha 90.00
_cell_angle_beta 90.00
_cell_angle_gamma 120.00
_symmetry_space_group_name_H-M 'R -3 m'
_symmetry_Int_Tables_number 166
_symmetry_space_group_name_Hall '-R 3 2"'
loop_
_atom_site_label
_atom_site_fract_x
_atom_site_fract_y
_atom_site_fract_z
_atom_site_occupancy
Na1 0.0000 0.5000 0.0000 1
Nd1 0.0000 0.5000 0.5000 1
Sb1 0.0000 0.0000 0.5000 1
S1 0.0000 0.0000 0.2442 1
S2 0.0218 0.5109 0.2406 1
```

---

3.
Below is a geometry-optimized Na3Nd2SbS6 structure, with properties calculated at the GGA-PBE level.

```
data_Na3Nd2SbS6
_chemical_formula_sum 'Na6 Nd4 Sb2 S12'
_cell_length_a 7.089
_cell_length_b 12.280
_cell_length_c 7.098
_cell_angle_alpha 90.00
_cell_angle_beta 109.40
_cell_angle_gamma 90.00
_symmetry_space_group_name_H-M 'C 1 2/m 1'
_symmetry_Int_Tables_number 12
_symmetry_space_group_name_Hall '-C 2y'
loop_
_atom_site_label
_atom_site_fract_x
_atom_site_fract_y
_atom_site_fract_z
_atom_site_occupancy
Na1 0.000 0.000 0.000 1
Na2 0.000 0.337 0.000 1
Nd1 0.000 0.167 0.500 1
Sb1 0.000 0.500 0.500 1
S1 0.241 0.337 0.732 1
S2 0.250 0.000 0.730 1
```

---

4.
Below is a geometry-optimized Na2NdSbS4 structure, with properties calculated at the GGA-PBE level.

```
data_Na2NdSbS4
_chemical_formula_sum 'Na2 Nd1 Sb1 S4'
_cell_length_a 7.060
_cell_length_b 4.066
_cell_length_c 7.101
_cell_angle_alpha 90.00
_cell_angle_beta 109.24
_cell_angle_gamma 90.00
_symmetry_space_group_name_H-M 'P 1 2/m 1'
_symmetry_Int_Tables_number 10
_symmetry_space_group_name_Hall '-P 2y'
loop_
_atom_site_label
_atom_site_fract_x
_atom_site_fract_y
_atom_site_fract_z
_atom_site_occupancy
Na1 0.000 0.000 0.000 1
Na2 0.500 0.500 0.000 1
Nd1 0.000 0.500 0.500 1
Sb1 0.500 0.000 0.500 1
S1 0.251 0.000 0.732 1
S2 0.262 0.500 0.269 1
```

---

5.
Below is a geometry-optimized NaNdSc2S4 structure, with properties calculated at the GGA-PBE level.

```
data_NaNdSc2S4
_chemical_formula_sum 'Na1 Nd1 Sc2 S4'
_cell_length_a 6.635
_cell_length_b 3.808
_cell_length_c 6.806
_cell_angle_alpha 90.00
_cell_angle_beta 108.63
_cell_angle_gamma 90.00
_symmetry_space_group_name_H-M 'P 1 2/m 1'
_symmetry_Int_Tables_number 10
_symmetry_space_group_name_Hall '-P 2y'
loop_
_atom_site_label
_atom_site_fract_x
_atom_site_fract_y
_atom_site_fract_z
_atom_site_occupancy
Na1 0.000 0.000 0.000 1
Nd1 0.500 0.500 0.000 1
Sc1 0.000 0.500 0.500 1
Sc2 0.500 0.000 0.500 1
S1 0.237 0.000 0.725 1
S2 0.257 0.500 0.276 1
```

---

6.
Below is a geometry-optimized Na3Nd2ScS6 structure, with properties calculated at the GGA-PBE level.

```
data_Na3Nd2ScS6
_chemical_formula_sum 'Na6 Nd4 Sc2 S12'
_cell_length_a 6.958
_cell_length_b 12.057
_cell_length_c 7.077
_cell_angle_alpha 90.00
_cell_angle_beta 109.21
_cell_angle_gamma 90.00
_symmetry_space_group_name_H-M 'C 1 2/m 1'
_symmetry_Int_Tables_number 12
_symmetry_space_group_name_Hall '-C 2y'
loop_
_atom_site_label
_atom_site_fract_x
_atom_site_fract_y
_atom_site_fract_z
_atom_site_occupancy
Na1 0.000 0.000 0.000 1
Na2 0.000 0.334 0.000 1
Nd1 0.000 0.167 0.500 1
Sc1 0.000 0.500 0.500 1
S1 0.233 0.343 0.728 1
S2 0.237 0.500 0.275 1
```

---

7.
Below is a geometry-optimized Na2NdSiS4 structure, with properties calculated at the GGA-PBE level.

```
data_Na2NdSiS4
_chemical_formula_sum 'Na8 Nd4 Si4 S16'
_cell_length_a 7.562
_cell_length_b 8.162
_cell_length_c 11.203
_cell_angle_alpha 90.00
_cell_angle_beta 90.00
_cell_angle_gamma 90.00
_symmetry_space_group_name_H-M 'I m m a'
_symmetry_Int_Tables_number 74
_symmetry_space_group_name_Hall '-I 2b 2'
loop_
_atom_site_label
_atom_site_fract_x
_atom_site_fract_y
_atom_site_fract_z
_atom_site_occupancy
Na1 0.000 0.000 0.000 1
Na2 0.250 0.250 0.250 1
Nd1 0.000 0.000 0.500 1
Si1 0.250 0.250 0.750 1
S1 0.000 0.041 0.750 1
S2 0.249 0.250 0.972 1
```

---

8.
Below is a geometry-optimized NaNd4Sm3S8 structure, with properties calculated at the GGA-PBE level.

```
data_NaNd4Sm3S8
_chemical_formula_sum 'Na3 Nd12 Sm9 S24'
_cell_length_a 8.0807
_cell_length_b 8.0807
_cell_length_c 19.8256
_cell_angle_alpha 90.00
_cell_angle_beta 90.00
_cell_angle_gamma 120.00
_symmetry_space_group_name_H-M 'R -3 m'
_symmetry_Int_Tables_number 166
_symmetry_space_group_name_Hall '-R 3 2"'
loop_
_atom_site_label
_atom_site_fract_x
_atom_site_fract_y
_atom_site_fract_z
_atom_site_occupancy
Na1 0.0000 0.0000 0.0000 1
Nd1 0.0000 0.0000 0.5000 1
Nd2 0.0000 0.5000 0.5000 1
Sm1 0.0000 0.5000 0.0000 1
S1 0.0000 0.0000 0.2518 1
S2 0.0009 0.5004 0.7480 1
```

---

9.
Below is a geometry-optimized Na4Nd3SmS8 structure, with properties calculated at the GGA-PBE level.

```
data_Na4Nd3SmS8
_chemical_formula_sum 'Na12 Nd9 Sm3 S24'
_cell_length_a 8.2378
_cell_length_b 8.2378
_cell_length_c 20.0897
_cell_angle_alpha 90.00
_cell_angle_beta 90.00
_cell_angle_gamma 120.00
_symmetry_space_group_name_H-M 'R -3 m'
_symmetry_Int_Tables_number 166
_symmetry_space_group_name_Hall '-R 3 2"'
loop_
_atom_site_label
_atom_site_fract_x
_atom_site_fract_y
_atom_site_fract_z
_atom_site_occupancy
Na1 0.0000 0.0000 0.0000 1
Na2 0.0000 0.5000 0.0000 1
Nd1 0.0000 0.5000 0.5000 1
Sm1 0.0000 0.0000 0.5000 1
S1 0.0000 0.0000 0.2446 1
S2 0.0028 0.5014 0.2441 1
```

---

10.
Below is a geometry-optimized Na3Nd2SmS6 structure, with properties calculated at the GGA-PBE level.

```
data_Na3Nd2SmS6
_chemical_formula_sum 'Na6 Nd4 Sm2 S12'
_cell_length_a 7.129
_cell_length_b 12.345
_cell_length_c 7.100
_cell_angle_alpha 90.00
_cell_angle_beta 109.56
_cell_angle_gamma 90.00
_symmetry_space_group_name_H-M 'C 1 2/m 1'
_symmetry_Int_Tables_number 12
_symmetry_space_group_name_Hall '-C 2y'
loop_
_atom_site_label
_atom_site_fract_x
_atom_site_fract_y
_atom_site_fract_z
_atom_site_occupancy
Na1 0.000 0.000 0.000 1
Na2 0.000 0.333 0.000 1
Nd1 0.000 0.167 0.500 1
Sm1 0.000 0.500 0.500 1
S1 0.243 0.335 0.733 1
S2 0.247 0.000 0.732 1
```

---

11.
Below is a geometry-optimized NaNdSm4S8 structure, with properties calculated at the GGA-PBE level.

```
data_NaNdSm4S8
_chemical_formula_sum 'Na3 Nd3 Sm12 S24'
_cell_length_a 8.2814
_cell_length_b 8.2814
_cell_length_c 20.4052
_cell_angle_alpha 90.00
_cell_angle_beta 90.00
_cell_angle_gamma 120.00
_symmetry_space_group_name_H-M 'R 3 m'
_symmetry_Int_Tables_number 160
_symmetry_space_group_name_Hall 'R 3 -2"'
loop_
_atom_site_label
_atom_site_fract_x
_atom_site_fract_y
_atom_site_fract_z
_atom_site_occupancy
Na1 0.0000 0.0000 0.0000 1
Nd1 0.0000 0.0000 0.6295 1
Sm1 0.0000 0.0000 0.2509 1
Sm2 0.1722 0.3444 0.4575 1
S1 0.0000 0.0000 0.3836 1
S2 0.0000 0.0000 0.8644 1
S3 0.0274 0.5137 0.3802 1
S4 0.1764 0.3529 0.2053 1
```

---

12.
Below is a geometry-optimized Na3NdSm2S6 structure, with properties calculated at the GGA-PBE level.

```
data_Na3NdSm2S6
_chemical_formula_sum 'Na6 Nd2 Sm4 S12'
_cell_length_a 7.097
_cell_length_b 12.289
_cell_length_c 7.095
_cell_angle_alpha 90.00
_cell_angle_beta 109.47
_cell_angle_gamma 90.00
_symmetry_space_group_name_H-M 'C 1 2/m 1'
_symmetry_Int_Tables_number 12
_symmetry_space_group_name_Hall '-C 2y'
loop_
_atom_site_label
_atom_site_fract_x
_atom_site_fract_y
_atom_site_fract_z
_atom_site_occupancy
Na1 0.000 0.000 0.000 1
Na2 0.000 0.333 0.000 1
Nd1 0.000 0.500 0.500 1
Sm1 0.000 0.167 0.500 1
S1 0.241 0.000 0.732 1
S2 0.245 0.332 0.732 1
```

---

13.
Below is a geometry-optimized NaNd4SmS8 structure, with properties calculated at the GGA-PBE level.

```
data_NaNd4SmS8
_chemical_formula_sum 'Na3 Nd12 Sm3 S24'
_cell_length_a 8.3749
_cell_length_b 8.3749
_cell_length_c 20.4000
_cell_angle_alpha 90.00
_cell_angle_beta 90.00
_cell_angle_gamma 120.00
_symmetry_space_group_name_H-M 'R 3 m'
_symmetry_Int_Tables_number 160
_symmetry_space_group_name_Hall 'R 3 -2"'
loop_
_atom_site_label
_atom_site_fract_x
_atom_site_fract_y
_atom_site_fract_z
_atom_site_occupancy
Na1 0.0000 0.0000 0.0000 1
Nd1 0.0000 0.0000 0.2494 1
Nd2 0.1720 0.3439 0.4567 1
Sm1 0.0000 0.0000 0.6290 1
S1 0.0000 0.0000 0.3828 1
S2 0.0000 0.0000 0.8643 1
S3 0.0300 0.5150 0.3773 1
S4 0.1785 0.3570 0.2063 1
```

---

14.
Below is a geometry-optimized Na2NdSn3S6 structure, with properties calculated at the GGA-PBE level.

```
data_Na2NdSn3S6
_chemical_formula_sum 'Na4 Nd2 Sn6 S12'
_cell_length_a 7.028
_cell_length_b 12.200
_cell_length_c 7.190
_cell_angle_alpha 90.00
_cell_angle_beta 108.80
_cell_angle_gamma 90.00
_symmetry_space_group_name_H-M 'C 1 2/m 1'
_symmetry_Int_Tables_number 12
_symmetry_space_group_name_Hall '-C 2y'
loop_
_atom_site_label
_atom_site_fract_x
_atom_site_fract_y
_atom_site_fract_z
_atom_site_occupancy
Na1 0.000 0.168 0.000 1
Nd1 0.000 0.500 0.000 1
Sn1 0.000 0.000 0.500 1
Sn2 0.000 0.335 0.500 1
S1 0.233 0.500 0.739 1
S2 0.246 0.342 0.250 1
```

---

15.
Below is a geometry-optimized Na3Nd3SnS8 structure, with properties calculated at the GGA-PBE level.

```
data_Na3Nd3SnS8
_chemical_formula_sum 'Na9 Nd9 Sn3 S24'
_cell_length_a 8.1383
_cell_length_b 8.1383
_cell_length_c 20.2508
_cell_angle_alpha 90.00
_cell_angle_beta 90.00
_cell_angle_gamma 120.00
_symmetry_space_group_name_H-M 'R -3 m'
_symmetry_Int_Tables_number 166
_symmetry_space_group_name_Hall '-R 3 2"'
loop_
_atom_site_label
_atom_site_fract_x
_atom_site_fract_y
_atom_site_fract_z
_atom_site_occupancy
Na1 0.0000 0.5000 0.0000 1
Nd1 0.0000 0.5000 0.5000 1
Sn1 0.0000 0.0000 0.5000 1
S1 0.0000 0.0000 0.2437 1
S2 0.0260 0.5130 0.2407 1
```

---

16.
Below is a geometry-optimized Na3Tb2NdS6 structure, with properties calculated at the GGA-PBE level.

```
data_Na3Tb2NdS6
_chemical_formula_sum 'Na6 Tb4 Nd2 S12'
_cell_length_a 7.012
_cell_length_b 12.145
_cell_length_c 7.086
_cell_angle_alpha 90.00
_cell_angle_beta 109.26
_cell_angle_gamma 90.00
_symmetry_space_group_name_H-M 'C 1 2/m 1'
_symmetry_Int_Tables_number 12
_symmetry_space_group_name_Hall '-C 2y'
loop_
_atom_site_label
_atom_site_fract_x
_atom_site_fract_y
_atom_site_fract_z
_atom_site_occupancy
Na1 0.000 0.000 0.000 1
Na2 0.000 0.333 0.000 1
Tb1 0.000 0.167 0.500 1
Nd1 0.000 0.500 0.500 1
S1 0.236 0.000 0.730 1
S2 0.247 0.330 0.729 1
```

---

17.
Below is a geometry-optimized NaTb2NdS4 structure, with properties calculated at the GGA-PBE level.

```
data_NaTb2NdS4
_chemical_formula_sum 'Na1 Tb2 Nd1 S4'
_cell_length_a 6.921
_cell_length_b 3.965
_cell_length_c 6.952
_cell_angle_alpha 90.00
_cell_angle_beta 109.04
_cell_angle_gamma 90.00
_symmetry_space_group_name_H-M 'P 1 2/m 1'
_symmetry_Int_Tables_number 10
_symmetry_space_group_name_Hall '-P 2y'
loop_
_atom_site_label
_atom_site_fract_x
_atom_site_fract_y
_atom_site_fract_z
_atom_site_occupancy
Na1 0.000 0.000 0.000 1
Tb1 0.000 0.500 0.500 1
Tb2 0.500 0.000 0.500 1
Nd1 0.500 0.500 0.000 1
S1 0.243 0.000 0.740 1
S2 0.254 0.500 0.262 1
```

---

18.
Below is a geometry-optimized Na2TbNdS4 structure, with properties calculated at the GGA-PBE level.

```
data_Na2TbNdS4
_chemical_formula_sum 'Na2 Tb1 Nd1 S4'
_cell_length_a 7.048
_cell_length_b 4.068
_cell_length_c 7.095
_cell_angle_alpha 90.00
_cell_angle_beta 109.34
_cell_angle_gamma 90.00
_symmetry_space_group_name_H-M 'P 1 2/m 1'
_symmetry_Int_Tables_number 10
_symmetry_space_group_name_Hall '-P 2y'
loop_
_atom_site_label
_atom_site_fract_x
_atom_site_fract_y
_atom_site_fract_z
_atom_site_occupancy
Na1 0.000 0.000 0.000 1
Na2 0.500 0.500 0.000 1
Tb1 0.000 0.500 0.500 1
Nd1 0.500 0.000 0.500 1
S1 0.237 0.000 0.729 1
S2 0.249 0.500 0.268 1
```

---

19.
Below is a geometry-optimized NaNd2ThS4 structure, with properties calculated at the GGA-PBE level.

```
data_NaNd2ThS4
_chemical_formula_sum 'Na1 Nd2 Th1 S4'
_cell_length_a 7.019
_cell_length_b 4.042
_cell_length_c 7.034
_cell_angle_alpha 90.00
_cell_angle_beta 109.00
_cell_angle_gamma 90.00
_symmetry_space_group_name_H-M 'P 1 2/m 1'
_symmetry_Int_Tables_number 10
_symmetry_space_group_name_Hall '-P 2y'
loop_
_atom_site_label
_atom_site_fract_x
_atom_site_fract_y
_atom_site_fract_z
_atom_site_occupancy
Na1 0.000 0.000 0.000 1
Nd1 0.500 0.000 0.500 1
Nd2 0.500 0.500 0.000 1
Th1 0.000 0.500 0.500 1
S1 0.244 0.000 0.752 1
S2 0.247 0.500 0.251 1
```

---

20.
Below is a geometry-optimized Na2NdTiS4 structure, with properties calculated at the GGA-PBE level.

```
data_Na2NdTiS4
_chemical_formula_sum 'Na2 Nd1 Ti1 S4'
_cell_length_a 6.723
_cell_length_b 3.867
_cell_length_c 7.069
_cell_angle_alpha 90.00
_cell_angle_beta 108.48
_cell_angle_gamma 90.00
_symmetry_space_group_name_H-M 'P 1 2/m 1'
_symmetry_Int_Tables_number 10
_symmetry_space_group_name_Hall '-P 2y'
loop_
_atom_site_label
_atom_site_fract_x
_atom_site_fract_y
_atom_site_fract_z
_atom_site_occupancy
Na1 0.000 0.000 0.000 1
Na2 0.500 0.500 0.000 1
Nd1 0.000 0.500 0.500 1
Ti1 0.500 0.000 0.500 1
S1 0.271 0.000 0.728 1
S2 0.286 0.500 0.286 1
```

---

21.
Below is a geometry-optimized NaNd4Tm3S8 structure, with properties calculated at the GGA-PBE level.

```
data_NaNd4Tm3S8
_chemical_formula_sum 'Na3 Nd12 Tm9 S24'
_cell_length_a 7.8913
_cell_length_b 7.8913
_cell_length_c 19.7573
_cell_angle_alpha 90.00
_cell_angle_beta 90.00
_cell_angle_gamma 120.00
_symmetry_space_group_name_H-M 'R -3 m'
_symmetry_Int_Tables_number 166
_symmetry_space_group_name_Hall '-R 3 2"'
loop_
_atom_site_label
_atom_site_fract_x
_atom_site_fract_y
_atom_site_fract_z
_atom_site_occupancy
Na1 0.0000 0.0000 0.0000 1
Nd1 0.0000 0.0000 0.5000 1
Nd2 0.0000 0.5000 0.5000 1
Tm1 0.0000 0.5000 0.0000 1
S1 0.0000 0.0000 0.2571 1
S2 0.0041 0.5020 0.2563 1
```

---

| no. | formation energy (no corrections) (eV per atom) |
| --- | --- |
| 1 | -1.745 |
| 2 | -1.450 |
| 3 | -1.414 |
| 4 | -1.220 |
| 5 | -1.837 |
| 6 | -1.759 |
| 7 | -1.115 |
| 8 | -1.965 |
| 9 | -1.799 |
| 10 | -1.801 |
| 11 | -1.923 |
| 12 | -1.808 |
| 13 | -1.913 |
| 14 | -0.928 |
| 15 | -1.485 |
| 16 | -1.826 |
| 17 | -1.929 |
| 18 | -1.816 |
| 19 | -1.849 |
| 20 | -1.493 |
| 21 | -1.940 |